1.
Entry from Alexandria: a relaxed LiLaCd2 crystal (GGA-PBEsol).

a = 3.406 Å, b = 3.406 Å, c = 7.781 Å
α = 90.00°, β = 90.00°, γ = 90.00°
Fractional coordinates of all 4 atoms:
Li (0.000, 0.000, 0.000)
La (0.000, 0.000, 0.500)
Cd (0.500, 0.500, 0.197)
Cd (0.500, 0.500, 0.803)

Values from the calculation:
SG = P4/mmm (123)
Energy of formation = -0.27 eV/atom

2.
Entry from Alexandria: a relaxed BaIr3F crystal (GGA-PBEsol).

a = 5.156 Å, b = 5.156 Å, c = 5.156 Å
α = 90.00°, β = 90.00°, γ = 90.00°
Fractional coordinates of all 5 atoms:
Ba (0.000, 0.000, 0.000)
Ir (0.000, 0.000, 0.500)
Ir (0.000, 0.500, 0.000)
Ir (0.500, 0.000, 0.000)
F (0.500, 0.500, 0.500)

Values from the calculation:
SG = Pm-3m (221)
Formation energy from raw total energies = 3.097 eV/atom

3.
Entry from Alexandria: a relaxed MgAlSb2 crystal (GGA-PBEsol).

a = 4.063 Å, b = 4.063 Å, c = 5.807 Å
α = 90.00°, β = 90.00°, γ = 90.00°
Fractional coordinates of all 4 atoms:
Mg (0.000, 0.000, 0.000)
Al (0.500, 0.500, 0.567)
Sb (0.000, 0.000, 0.506)
Sb (0.500, 0.500, 0.058)

Values from the calculation:
SG = P4mm (99)
Distance to the lowest polymorph of the same formula = 4.2 kJ/mol of atoms
Formation energy from raw total energies = -0.051 eV/atom

4.
Entry from Alexandria: a relaxed ZnReCl2 crystal (GGA-PBEsol).

a = 3.098 Å, b = 3.098 Å, c = 8.902 Å
α = 90.00°, β = 90.00°, γ = 122.23°
Fractional coordinates of all 4 atoms:
Zn (0.000, 0.000, 0.000)
Re (0.500, 0.500, 0.758)
Cl (0.000, 0.000, 0.557)
Cl (0.500, 0.500, 0.193)

Values from the calculation:
SG = Cmm2 (35)
Distance to the lowest polymorph of the same formula = 0.0 kJ/mol of atoms
Formation energy from raw total energies = 0.102 eV/atom

5.
Entry from Alexandria: a relaxed YTcIO2 crystal (GGA-PBEsol).

a = 3.996 Å, b = 3.996 Å, c = 5.421 Å
α = 90.00°, β = 90.00°, γ = 90.00°
Fractional coordinates of all 5 atoms:
Y (0.000, 0.000, 0.000)
Tc (0.500, 0.500, 0.500)
I (0.500, 0.500, 0.000)
O (0.000, 0.500, 0.500)
O (0.500, 0.000, 0.500)

Values from the calculation:
SG = P4/mmm (123)
Formation energy from raw total energies = -0.716 eV/atom

6.
Entry from Alexandria: a relaxed Li2AgHg crystal (GGA-PBEsol).

a = 4.572 Å, b = 4.572 Å, c = 4.572 Å
α = 60.00°, β = 60.00°, γ = 60.00°
Fractional coordinates of all 4 atoms:
Li (0.000, 0.000, 0.000)
Li (0.250, 0.250, 0.250)
Ag (0.750, 0.750, 0.750)
Hg (0.500, 0.500, 0.500)

Values from the calculation:
SG = F-43m (216)
Energy of formation = -0.29 eV/atom

7.
Entry from Alexandria: a relaxed SrMgTe3 crystal (GGA-PBEsol).

a = 5.975 Å, b = 5.975 Å, c = 5.975 Å
α = 90.00°, β = 90.00°, γ = 90.00°
Fractional coordinates of all 5 atoms:
Sr (0.000, 0.000, 0.000)
Mg (0.500, 0.500, 0.500)
Te (0.000, 0.000, 0.500)
Te (0.000, 0.500, 0.000)
Te (0.500, 0.000, 0.000)

Values from the calculation:
SG = Pm-3m (221)
Formation energy from raw total energies = 0.192 eV/atom

8.
Entry from Alexandria: a relaxed NaMo2Au crystal (GGA-PBEsol).

a = 4.513 Å, b = 4.513 Å, c = 4.513 Å
α = 60.00°, β = 60.00°, γ = 60.00°
Fractional coordinates of all 4 atoms:
Na (0.000, 0.000, 0.000)
Mo (0.250, 0.250, 0.250)
Mo (0.750, 0.750, 0.750)
Au (0.500, 0.500, 0.500)

Values from the calculation:
SG = Fm-3m (225)
Energy of formation = 1.16 eV/atom

9.
Entry from Alexandria: a relaxed Cs2IrCl5O crystal (GGA-PBEsol).

a = 8.909 Å, b = 8.909 Å, c = 8.613 Å
α = 90.00°, β = 90.00°, γ = 133.44°
Fractional coordinates of all 18 atoms:
Cs (0.029, 0.971, 0.750)
Cs (0.275, 0.725, 0.250)
Cs (0.725, 0.275, 0.750)
Cs (0.971, 0.029, 0.250)
Ir (0.387, 0.613, 0.750)
Ir (0.613, 0.387, 0.250)
Cl (0.145, 0.383, 0.559)
Cl (0.145, 0.383, 0.941)
Cl (0.242, 0.758, 0.750)
Cl (0.383, 0.145, 0.059)
Cl (0.383, 0.145, 0.441)
Cl (0.617, 0.855, 0.559)
Cl (0.617, 0.855, 0.941)
Cl (0.758, 0.242, 0.250)
Cl (0.855, 0.617, 0.059)
Cl (0.855, 0.617, 0.441)
O (0.497, 0.503, 0.750)
O (0.503, 0.497, 0.250)

Values from the calculation:
SG = Cmcm (63)
Formation energy from raw total energies = -1.149 eV/atom

10.
Entry from Alexandria: a relaxed La2TlP crystal (GGA-PBEsol).

a = 4.393 Å, b = 4.414 Å, c = 6.201 Å
α = 90.00°, β = 90.00°, γ = 90.00°
Fractional coordinates of all 4 atoms:
La (0.000, 0.000, 0.000)
La (0.500, 0.500, 0.500)
Tl (0.000, 0.000, 0.500)
P (0.500, 0.500, 0.000)

Values from the calculation:
SG = Pmmm (47)
Energy of formation = -0.72 eV/atom
Distance to the lowest polymorph of the same formula = 22.3 kJ/mol of atoms

11.
Entry from Alexandria: a relaxed TlTc2Te crystal (GGA-PBEsol).

a = 4.411 Å, b = 4.411 Å, c = 5.774 Å
α = 101.35°, β = 101.35°, γ = 41.81°
Fractional coordinates of all 4 atoms:
Tl (0.000, 0.000, 0.000)
Tc (0.248, 0.248, 0.710)
Tc (0.752, 0.752, 0.290)
Te (0.500, 0.500, 0.500)

Values from the calculation:
SG = C2/m (12)
Distance to the lowest polymorph of the same formula = 0.0 kJ/mol of atoms
Formation energy from raw total energies = 0.544 eV/atom

12.
Entry from Alexandria: a relaxed CaCdSi3 crystal (GGA-PBEsol).

a = 5.228 Å, b = 5.228 Å, c = 5.228 Å
α = 90.00°, β = 90.00°, γ = 90.00°
Fractional coordinates of all 5 atoms:
Ca (0.000, 0.000, 0.000)
Cd (0.500, 0.500, 0.500)
Si (0.000, 0.000, 0.500)
Si (0.000, 0.500, 0.000)
Si (0.500, 0.000, 0.000)

Values from the calculation:
SG = Pm-3m (221)
Formation energy from raw total energies = 1.430 eV/atom

13.
Entry from Alexandria: a relaxed Ag2Pb crystal (GGA-PBEsol).

a = 5.556 Å, b = 5.556 Å, c = 4.802 Å
α = 90.00°, β = 90.00°, γ = 56.29°
Fractional coordinates of all 6 atoms:
Ag (0.029, 0.348, 0.250)
Ag (0.348, 0.029, 0.750)
Ag (0.652, 0.971, 0.250)
Ag (0.971, 0.652, 0.750)
Pb (0.288, 0.712, 0.250)
Pb (0.712, 0.288, 0.750)

Values from the calculation:
SG = Cmcm (63)
Energy of formation = 0.09 eV/atom

14.
Entry from Alexandria: a relaxed MnBe2Tl crystal (GGA-PBEsol).

a = 4.731 Å, b = 4.731 Å, c = 4.731 Å
α = 135.92°, β = 135.92°, γ = 64.11°
Fractional coordinates of all 4 atoms:
Mn (0.000, 0.000, 0.000)
Be (0.500, 0.500, 0.000)
Be (0.750, 0.250, 0.500)
Tl (0.250, 0.750, 0.500)

Values from the calculation:
SG = I-4m2 (119)
Energy of formation = 0.49 eV/atom
Distance to the lowest polymorph of the same formula = 2.6 kJ/mol of atoms

15.
Entry from Alexandria: a relaxed CdTe2Pt2 crystal (GGA-PBEsol).

a = 8.063 Å, b = 8.063 Å, c = 8.063 Å
α = 152.30°, β = 152.30°, γ = 39.57°
Fractional coordinates of all 5 atoms:
Cd (0.000, 0.000, 0.000)
Te (0.376, 0.376, 0.000)
Te (0.624, 0.624, 0.000)
Pt (0.250, 0.750, 0.500)
Pt (0.750, 0.250, 0.500)

Values from the calculation:
SG = I4/mmm (139)
Formation energy from raw total energies = -0.016 eV/atom

16.
Entry from Alexandria: a relaxed Pr3RhBr3 crystal (GGA-PBEsol).

a = 10.292 Å, b = 10.292 Å, c = 10.292 Å
α = 109.47°, β = 109.47°, γ = 109.47°
Fractional coordinates of all 28 atoms:
Pr (0.013, 0.027, 0.263)
Pr (0.013, 0.487, 0.750)
Pr (0.027, 0.263, 0.013)
Pr (0.237, 0.263, 0.750)
Pr (0.237, 0.473, 0.487)
Pr (0.263, 0.013, 0.027)
Pr (0.263, 0.750, 0.237)
Pr (0.473, 0.487, 0.237)
Pr (0.487, 0.237, 0.473)
Pr (0.487, 0.750, 0.013)
Pr (0.750, 0.013, 0.487)
Pr (0.750, 0.237, 0.263)
Rh (0.000, 0.250, 0.500)
Rh (0.250, 0.250, 0.250)
Rh (0.250, 0.500, 0.000)
Rh (0.500, 0.000, 0.250)
Br (0.250, 0.758, 0.742)
Br (0.250, 0.992, 0.508)
Br (0.508, 0.250, 0.992)
Br (0.508, 0.758, 0.517)
Br (0.517, 0.508, 0.758)
Br (0.742, 0.250, 0.758)
Br (0.742, 0.992, 0.983)
Br (0.758, 0.517, 0.508)
Br (0.758, 0.742, 0.250)
Br (0.983, 0.742, 0.992)
Br (0.992, 0.508, 0.250)
Br (0.992, 0.983, 0.742)

Values from the calculation:
SG = I4_132 (214)
Formation energy from raw total energies = -1.339 eV/atom

17.
Entry from Alexandria: a relaxed Li2TlHg crystal (GGA-PBEsol).

a = 5.497 Å, b = 5.497 Å, c = 5.497 Å
α = 141.35°, β = 130.66°, γ = 64.37°
Fractional coordinates of all 4 atoms:
Li (0.000, 0.000, 0.000)
Li (0.742, 0.242, 0.500)
Tl (0.250, 0.750, 0.500)
Hg (0.512, 0.512, 0.000)

Values from the calculation:
SG = Imm2 (44)
Energy of formation = -0.30 eV/atom

18.
Entry from Alexandria: a relaxed CsSiSb2I crystal (GGA-PBEsol).

a = 5.236 Å, b = 5.236 Å, c = 6.413 Å
α = 90.00°, β = 90.00°, γ = 90.00°
Fractional coordinates of all 5 atoms:
Cs (0.000, 0.000, 0.000)
Si (0.500, 0.500, 0.500)
Sb (0.000, 0.500, 0.500)
Sb (0.500, 0.000, 0.500)
I (0.500, 0.500, 0.000)

Values from the calculation:
SG = P4/mmm (123)
Formation energy from raw total energies = 0.037 eV/atom

19.
Entry from Alexandria: a relaxed ScZnSi2 crystal (GGA-PBEsol).

a = 5.676 Å, b = 5.676 Å, c = 5.676 Å
α = 103.16°, β = 103.16°, γ = 123.01°
Fractional coordinates of all 8 atoms:
Sc (0.000, 0.000, 0.000)
Sc (0.750, 0.250, 0.500)
Zn (0.250, 0.750, 0.500)
Zn (0.500, 0.500, 0.000)
Si (0.165, 0.125, 0.540)
Si (0.375, 0.835, 0.960)
Si (0.585, 0.625, 0.460)
Si (0.875, 0.415, 0.040)

Values from the calculation:
SG = I-42d (122)
Formation energy from raw total energies = -0.115 eV/atom

20.
Entry from Alexandria: a relaxed Si4SbPt crystal (GGA-PBEsol).

a = 5.179 Å, b = 5.179 Å, c = 5.179 Å
α = 60.00°, β = 60.00°, γ = 60.00°
Fractional coordinates of all 6 atoms:
Si (0.125, 0.125, 0.125)
Si (0.125, 0.125, 0.626)
Si (0.125, 0.626, 0.125)
Si (0.626, 0.125, 0.125)
Sb (0.500, 0.500, 0.500)
Pt (0.750, 0.750, 0.750)

Values from the calculation:
SG = F-43m (216)
Formation energy from raw total energies = 0.472 eV/atom

Number 1: raw total energy -10.79 eV for the cell shown. Number 2: raw total energy -18.06 eV for the cell shown. Number 3: raw total energy -15.13 eV for the cell shown. Number 4: raw total energy -18.52 eV for the cell shown. Number 5: raw total energy -33.93 eV for the cell shown. Number 6: raw total energy -8.98 eV for the cell shown. Number 7: raw total energy -13.18 eV for the cell shown. Number 8: raw total energy -24.23 eV for the cell shown. Number 9: raw total energy -74.68 eV for the cell shown. Number 10: raw total energy -21.98 eV for the cell shown. Number 11: raw total energy -26.51 eV for the cell shown. Number 12: raw total energy -13.42 eV for the cell shown. Number 13: raw total energy -20.71 eV for the cell shown. Number 14: raw total energy -18.42 eV for the cell shown. Number 15: raw total energy -22.26 eV for the cell shown. Number 16: raw total energy -154.71 eV for the cell shown. Number 17: raw total energy -8.31 eV for the cell shown. Number 18: raw total energy -17.39 eV for the cell shown. Number 19: raw total energy -40.28 eV for the cell shown. Number 20: raw total energy -31.68 eV for the cell shown.